Entry 1:
Sm2ScGe4Pt3 after structural relaxation, computed with PBE-GGA.

Lattice parameters (Å, degrees): 4.2301 4.2301 11.1085 90.00 90.00 90.00
Fractional coordinates of all 10 atoms:
Ge (0.0000, 0.5000, 0.3493)
Sm (0.0000, 0.5000, 0.7586)
Sc (0.5000, 0.5000, 0.5000)
Pt (0.0000, 0.5000, 0.1255)
Ge (0.5000, 0.0000, 0.6507)
Pt (0.5000, 0.0000, 0.8745)
Pt (0.0000, 0.0000, 0.5000)
Ge (0.5000, 0.5000, 0.0000)
Ge (0.0000, 0.0000, 0.0000)
Sm (0.5000, 0.0000, 0.2414)

Computed properties:
Formation energy from the elements in eV per atom: -0.94

***

Entry 2:
Fe2CuAu2 after structural relaxation, computed with PBE-GGA.

Lattice parameters (Å, degrees): 6.3299 6.3299 3.8617 90.00 90.00 90.00
Site moments in Bohr magnetons follow the coordinates.
Fractional coordinates of all 10 atoms:
Fe (0.8739, 0.6261, 0.0000)  2.72
Au (0.8280, 0.3280, 0.5000)  0.06
Au (0.1720, 0.6720, 0.5000)  0.06
Au (0.6720, 0.8280, 0.5000)  0.06
Fe (0.6261, 0.1261, 0.0000)  2.72
Fe (0.3739, 0.8739, 0.0000)  2.72
Au (0.3280, 0.1720, 0.5000)  0.06
Cu (0.5000, 0.5000, 0.0000)  0.09
Fe (0.1261, 0.3739, 0.0000)  2.72
Cu (0.0000, 0.0000, 0.0000)  0.09

Computed properties:
Formation energy from the elements in eV per atom: 0.35

***

Entry 3:
CrTc2Ge after structural relaxation, computed with PBE-GGA.

Lattice parameters (Å, degrees): 2.7985 2.7985 8.8347 80.89 80.89 60.00
Fractional coordinates of all 4 atoms:
Tc (0.0866, 0.0866, 0.7402)
Ge (0.5000, 0.5000, 0.5000)
Tc (0.9134, 0.9134, 0.2598)
Cr (0.0000, 0.0000, 0.0000)

Computed properties:
Formation energy from the elements in eV per atom: 0.54

***

Entry 4:
IrBr6 after structural relaxation, computed with PBE-GGA.

Lattice parameters (Å, degrees): 6.4952 11.7367 11.2802 90.00 90.00 90.00
Fractional coordinates of all 28 atoms:
Br (0.6452, 0.0993, 0.2424)
Br (0.1452, 0.9007, 0.2576)
Br (0.3548, 0.5993, 0.7576)
Br (0.6329, 0.2500, 0.5054)
Br (0.6452, 0.4007, 0.2424)
Br (0.3086, 0.2500, 0.7056)
Br (0.0988, 0.3941, 0.4600)
Br (0.3548, 0.9007, 0.7576)
Br (0.8548, 0.4007, 0.7424)
Br (0.0988, 0.1059, 0.4600)
Br (0.8671, 0.2500, 0.0054)
Br (0.5988, 0.8941, 0.0400)
Br (0.8548, 0.0993, 0.7424)
Br (0.6914, 0.7500, 0.2944)
Br (0.5988, 0.6059, 0.0400)
Ir (0.9687, 0.2500, 0.6061)
Ir (0.0313, 0.7500, 0.3939)
Ir (0.5313, 0.2500, 0.1061)
Br (0.4012, 0.1059, 0.9600)
Br (0.1452, 0.5993, 0.2576)
Br (0.1329, 0.7500, 0.9946)
Br (0.8086, 0.7500, 0.7944)
Br (0.9012, 0.8941, 0.5400)
Br (0.9012, 0.6059, 0.5400)
Br (0.3671, 0.7500, 0.4946)
Br (0.1914, 0.2500, 0.2056)
Br (0.4012, 0.3941, 0.9600)
Ir (0.4687, 0.7500, 0.8939)

Computed properties:
Formation energy (no corrections) in kJ/mol of formula units: -27

***

Entry 5:
Tb4Hg2Pt after structural relaxation, computed with PBE-GGA.

Lattice parameters (Å, degrees): 5.1254 5.1254 8.9250 73.31 73.31 60.00
Fractional coordinates of all 7 atoms:
Hg (0.2417, 0.2417, 0.2748)
Tb (0.1194, 0.1194, 0.6417)
Tb (0.6295, 0.6295, 0.1115)
Hg (0.7583, 0.7583, 0.7252)
Pt (0.0000, 0.0000, 0.0000)
Tb (0.8806, 0.8806, 0.3583)
Tb (0.3705, 0.3705, 0.8885)

Computed properties:
Formation energy from the elements in eV per atom: -0.53

***

Entry 6:
Al2Sb after structural relaxation, computed with PBE-GGA.

Lattice parameters (Å, degrees): 3.9884 3.9884 4.3747 90.00 90.00 90.00
Fractional coordinates of all 3 atoms:
Sb (0.0000, 0.0000, 0.0000)
Al (0.5000, 0.0000, 0.5000)
Al (0.0000, 0.5000, 0.5000)

Computed properties:
Formation energy (no corrections) in kJ/mol of formula units: 52

***

Entry 7:
RbSrMg2Pd after structural relaxation, computed with PBE-GGA.

Lattice parameters (Å, degrees): 5.4286 5.4286 5.7950 90.00 90.00 90.00
Fractional coordinates of all 5 atoms:
Mg (0.5000, 0.0000, 0.0000)
Mg (0.0000, 0.5000, 0.0000)
Pd (0.0000, 0.0000, 0.0000)
Rb (0.5000, 0.5000, 0.5000)
Sr (0.0000, 0.0000, 0.5000)

Computed properties:
Formation energy from the elements in eV per atom: -0.16

***

Entry 8:
MgTa2Cl after structural relaxation, computed with PBE-GGA.

Lattice parameters (Å, degrees): 3.8256 3.8256 11.4159 80.35 80.35 90.00
Fractional coordinates of all 8 atoms:
Ta (0.1349, 0.6250, 0.2500)
Mg (0.5000, 0.5000, 0.0000)
Ta (0.8750, 0.8651, 0.7500)
Mg (0.2500, 0.7500, 0.5000)
Cl (0.0000, 0.0000, 0.0000)
Ta (0.3750, 0.3849, 0.7500)
Cl (0.7500, 0.2500, 0.5000)
Ta (0.6151, 0.1250, 0.2500)

Computed properties:
Formation energy (no corrections) in kJ/mol of formula units: 202
Polymorph energy (0 for the lowest one) in eV/f.u.: 2.34

***

Entry 9:
Ac2MgCu12Ni3 after structural relaxation, computed with PBE-GGA.

Lattice parameters (Å, degrees): 7.6297 7.6297 7.6297 64.57 64.57 64.57
Fractional coordinates of all 18 atoms:
Cu (0.6629, 0.6629, 0.9854)
Cu (0.6379, 0.1288, 0.1288)
Mg (0.0000, 0.0000, 0.0000)
Cu (0.0146, 0.3371, 0.3371)
Cu (0.8712, 0.3621, 0.8712)
Ac (0.3934, 0.3934, 0.3934)
Cu (0.3371, 0.0146, 0.3371)
Ni (0.0000, 0.0000, 0.5000)
Cu (0.3621, 0.8712, 0.8712)
Ni (0.0000, 0.5000, 0.0000)
Cu (0.8712, 0.8712, 0.3621)
Ac (0.6066, 0.6066, 0.6066)
Cu (0.3371, 0.3371, 0.0146)
Cu (0.1288, 0.6379, 0.1288)
Ni (0.5000, 0.0000, 0.0000)
Cu (0.9854, 0.6629, 0.6629)
Cu (0.1288, 0.1288, 0.6379)
Cu (0.6629, 0.9854, 0.6629)

Computed properties:
Formation energy from the elements in eV per atom: 0.40

***

Entry 10:
Th2TlSb after structural relaxation, computed with PBE-GGA.

Lattice parameters (Å, degrees): 4.1209 4.1209 9.1904 77.04 77.04 60.00
Fractional coordinates of all 4 atoms:
Th (0.0764, 0.0764, 0.7709)
Sb (0.6669, 0.6669, 0.9992)
Tl (0.4997, 0.4997, 0.5010)
Th (0.2570, 0.2570, 0.2290)

Computed properties:
Formation energy (no corrections) in kJ/mol of formula units: -131
Polymorph energy (0 for the lowest one) in eV/f.u.: 0.42

***

Entry 11:
PrNdAgPb after structural relaxation, computed with PBE-GGA.

Lattice parameters (Å, degrees): 5.4687 5.4687 5.4687 60.00 60.00 60.00
Site moments in Bohr magnetons follow the coordinates.
Fractional coordinates of all 4 atoms:
Pb (0.0000, 0.0000, 0.0000)  -0.02
Nd (0.2500, 0.2500, 0.2500)  0.16
Ag (0.5000, 0.5000, 0.5000)  0.01
Pr (0.7500, 0.7500, 0.7500)  0.15

Computed properties:
Formation energy from the elements in eV per atom: -0.42

***

Entry 12:
Si2NiRh after structural relaxation, computed with PBE-GGA.

Lattice parameters (Å, degrees): 2.9612 2.9197 5.6865 90.00 90.00 90.00
Fractional coordinates of all 4 atoms:
Si (0.0000, 0.0000, 0.4816)
Si (0.0000, 0.0000, 0.0184)
Rh (0.5000, 0.5000, 0.7500)
Ni (0.5000, 0.5000, 0.2500)

Computed properties:
Formation energy (no corrections) in kJ/mol of formula units: -164

***

Record order is preserved below.
Size of the total moment: 0.00; 5.66; 0.00; 0.00; 0.00; 0.00; 0.00; 0.00; 0.00; 0.00; 0.64; 0.00 μB/f.u.